Entry 1:
Here is an optimized crystal structure of TaGe3I from the Alexandria database. Energies are from GGA-PBEsol.

Cell: 5.1222 5.1222 5.1222 Å, 90.00 90.00 90.00°
Closest atoms and distances in Å follow each position.
Atoms (fractional coordinates):
I  0.0000  0.0000  0.0000  6 Ge 2.56
Ge  0.0000  0.5000  0.0000  2 I 2.56
Ge  0.0000  0.0000  0.5000  2 I 2.56
Ge  0.5000  0.0000  0.0000  2 I 2.56
Ta  0.5000  0.5000  0.5000  12 Ge 3.62

Values from the calculation:
SG = Pm-3m, No. 221
uncorrected formation energy = 951 kJ/mol of formula units

***

Entry 2:
Here is an optimized crystal structure of LiZrS2Cl from the Alexandria database. Energies are from GGA-PBEsol.

Cell: 4.9446 4.9446 5.0075 Å, 90.00 90.00 90.00°
Closest atoms and distances in Å follow each position.
Atoms (fractional coordinates):
S  0.0000  0.5000  0.0000  2 Zr 2.47
S  0.5000  0.0000  0.0000  2 Zr 2.47
Li  0.5000  0.5000  0.5000  4 Cl 3.50, 8 S 3.52
Zr  0.0000  0.0000  0.0000  4 S 2.47, 2 Cl 2.50
Cl  0.0000  0.0000  0.5000  2 Zr 2.50

Values from the calculation:
SG = P4/mmm, No. 123
uncorrected formation energy = -598 kJ/mol of formula units

***

Entry 3:
Here is an optimized crystal structure of Li2BiSb from the Alexandria database. Energies are from GGA-PBEsol.

Cell: 4.9645 4.9645 4.9645 Å, 60.00 60.00 60.00°
Closest atoms and distances in Å follow each position.
Atoms (fractional coordinates):
Sb  0.0000  0.0000  0.0000  8 Li 3.04
Bi  0.5000  0.5000  0.5000  8 Li 3.04
Li  0.2500  0.2500  0.2500  4 Sb 3.04, 4 Bi 3.04
Li  0.7500  0.7500  0.7500  4 Bi 3.04, 4 Sb 3.04

Values from the calculation:
SG = Fm-3m, No. 225
uncorrected formation energy = -147 kJ/mol of formula units

***

Entry 4:
Here is an optimized crystal structure of YGaPd from the Alexandria database. Energies are from GGA-PBEsol.

Cell: 4.4181 6.8668 7.5059 Å, 90.00 90.00 90.00°
Closest atoms and distances in Å follow each position.
Atoms (fractional coordinates):
Y  0.2500  0.5155  0.1988  5 Pd 2.88-3.13, 6 Ga 3.06-3.18
Y  0.7500  0.9845  0.6988  5 Pd 2.88-3.13, 6 Ga 3.06-3.18
Y  0.2500  0.0155  0.3012  5 Pd 2.88-3.13, 6 Ga 3.06-3.18
Y  0.7500  0.4845  0.8012  5 Pd 2.88-3.13, 6 Ga 3.06-3.18
Ga  0.7500  0.8221  0.0779  4 Pd 2.57-2.70
Ga  0.2500  0.6779  0.5779  4 Pd 2.57-2.70
Ga  0.7500  0.3221  0.4221  4 Pd 2.57-2.70
Ga  0.2500  0.1779  0.9221  4 Pd 2.57-2.70
Pd  0.7500  0.2143  0.0942  4 Ga 2.57-2.70, 1 Y 2.88
Pd  0.2500  0.7857  0.9058  4 Ga 2.57-2.70, 1 Y 2.88
Pd  0.7500  0.7143  0.4058  4 Ga 2.57-2.70, 1 Y 2.88
Pd  0.2500  0.2857  0.5942  4 Ga 2.57-2.70, 1 Y 2.88

Values from the calculation:
DFT formation energy = -0.9333 eV per atom
SG = Pnma, No. 62

***

Values for DOS at the Fermi energy, states/eV/atom, ordered as above
0.751 0.149 0.296 0.569
Values for DFT total energy, eV for the cell shown, ordered as above
-19.279 -28.026 -14.304 -75.682